Entry 1:
VASP calculation (PBE) on a relaxed structure of Er4HgIr3.

Lattice parameters (Å, degrees): 4.945 4.945 6.805 90.00 90.00 90.00
Space group P4/mmm (No. 123)
Inequivalent atoms, fractional coordinates:
Er (0.000, 0.500, 0.239)
Hg (0.000, 0.000, 0.500)
Ir (0.000, 0.000, 0.000)
Ir (0.500, 0.500, 0.000)
Ir (0.500, 0.500, 0.500)

Summary:
The volume comes out at 20.80 Å³ per atom. The calculated total energy comes out at -6.40 eV/atom. The calculation puts the formation energy at -0.754 eV per atom.

***

Entry 2:
VASP calculation (PBE) on a relaxed structure of Er12Hg5Ir2.

Lattice parameters (Å, degrees): 16.405 7.652 9.219 90.00 104.26 90.00
Space group C2/m (No. 12)
Inequivalent atoms, fractional coordinates:
Er (0.004, 0.000, 0.247)
Er (0.024, 0.500, 0.829)
Er (0.145, 0.252, 0.567)
Er (0.168, 0.240, 0.104)
Hg (0.000, 0.500, 0.500)
Hg (0.188, 0.000, 0.839)
Hg (0.206, 0.000, 0.370)
Ir (0.000, 0.214, 0.000)

Summary:
The volume comes out at 29.51 Å³ per atom. The calculated total energy comes out at -4.21 eV/atom. The calculation puts the formation energy at -0.314 eV per atom.

***

Entry 3:
VASP calculation (PBE) on a relaxed structure of Er4HgIr.

Lattice parameters (Å, degrees): 7.264 6.949 6.877 90.00 92.28 90.00
Space group P2_1/c (No. 14)
Inequivalent atoms, fractional coordinates:
Er (0.141, 0.158, 0.174)
Er (0.318, 0.647, 0.130)
Hg (0.500, 0.000, 0.000)
Ir (0.000, 0.000, 0.500)

Summary:
The volume comes out at 28.90 Å³ per atom. The calculated total energy comes out at -4.98 eV/atom. The calculation puts the formation energy at -0.412 eV per atom. The value obtained for the energy relative to the lowest polymorph listed for this composition is 17.2 kJ/mol of atoms.

***

Entry 4:
VASP calculation (PBE) on a relaxed structure of Er8Hg2Ir.

Lattice parameters (Å, degrees): 17.609 5.162 6.796 90.00 107.31 90.00
Space group C2/m (No. 12)
Inequivalent atoms, fractional coordinates:
Er (0.023, 0.000, 0.286)
Er (0.088, 0.500, 0.929)
Er (0.154, 0.500, 0.463)
Er (0.201, 0.000, 0.809)
Hg (0.185, 0.000, 0.224)
Ir (0.000, 0.500, 0.500)

Summary:
The volume comes out at 26.81 Å³ per atom. The calculated total energy comes out at -4.55 eV/atom. The calculation puts the formation energy at -0.369 eV per atom.